# Ac2YSb2Te2

Ac2YSb2Te2 after structural relaxation (PBE, the Alexandria database).

Results
VASP energy: -5.1487 eV per atom
total magnetization: 0.000 μB/atom
SG: No. 139

a b c (Å): 5.720 5.720 16.642
angles (deg): 90.00 90.00 90.00
Sites, in units of the cell vectors:
1 Ac 0.000 0.000 0.124
2 Ac 0.000 0.000 0.876
3 Ac 0.500 0.500 0.376
4 Ac 0.500 0.500 0.624
5 Y 0.000 0.000 0.500
6 Y 0.500 0.500 0.000
7 Sb 0.000 0.500 0.000
8 Sb 0.000 0.500 0.500
9 Sb 0.500 0.000 0.000
10 Sb 0.500 0.000 0.500
11 Te 0.000 0.000 0.316
12 Te 0.000 0.000 0.684
13 Te 0.500 0.500 0.184
14 Te 0.500 0.500 0.816